1.
Here is crystalline K3CeSc2Se6 at its relaxed geometry from the Alexandria database. Energies are from GGA-PBE.

The structure in POSCAR format:
```
K3CeSc2Se6
1.0
3.583 -6.209 0.000
3.583 6.209 0.000
-2.400 0.000 7.647
K Ce Sc Se
3 1 2 6
Direct
0.000 0.000 0.000
0.337 0.663 0.000
0.663 0.337 0.000
0.500 0.500 0.500
0.167 0.833 0.500
0.833 0.167 0.500
0.081 0.433 0.300
0.214 0.214 0.699
0.433 0.081 0.300
0.567 0.919 0.700
0.786 0.786 0.301
0.919 0.567 0.700
```

Computed properties:
Formation energy (no corrections), eV/atom: -1.6298
M_tot, μB per formula unit: 1.04
Space-group type: C2/m, No. 12

***

2.
Here is crystalline K3CeSc3Se8 at its relaxed geometry from the Alexandria database. Energies are from GGA-PBE.

The structure in POSCAR format:
```
K3CeSc3Se8
1.0
4.024 2.323 7.740
-4.024 2.323 7.740
0.000 -4.647 7.740
K Ce Sc Se
3 1 3 8
Direct
0.000 0.500 0.500
0.500 0.000 0.500
0.500 0.500 0.000
0.500 0.500 0.500
0.000 0.000 0.500
0.000 0.500 0.000
0.500 0.000 0.000
0.219 0.739 0.739
0.231 0.231 0.231
0.261 0.261 0.781
0.261 0.781 0.261
0.739 0.219 0.739
0.739 0.739 0.219
0.769 0.769 0.769
0.781 0.261 0.261
```

Computed properties:
Formation energy (no corrections), eV/atom: -1.6286
M_tot, μB per formula unit: 0.00
Space-group type: R-3m, No. 166

***

3.
Here is crystalline K4Ce3ScSe8 at its relaxed geometry from the Alexandria database. Energies are from GGA-PBE.

The structure in POSCAR format:
```
K4Ce3ScSe8
1.0
4.289 2.476 7.667
-4.289 2.476 7.667
0.000 -4.952 7.667
K Ce Sc Se
4 3 1 8
Direct
0.000 0.000 0.000
0.000 0.500 0.500
0.500 0.000 0.500
0.500 0.500 0.000
0.000 0.000 0.500
0.000 0.500 0.000
0.500 0.000 0.000
0.500 0.500 0.500
0.238 0.238 0.238
0.252 0.726 0.726
0.274 0.274 0.748
0.274 0.748 0.274
0.726 0.252 0.726
0.726 0.726 0.252
0.748 0.274 0.274
0.762 0.762 0.762
```

Computed properties:
Formation energy (no corrections), eV/atom: -1.6556
M_tot, μB per formula unit: 3.04
Space-group type: R-3m, No. 166

***

4.
Here is crystalline K3Ce2ScSe6 at its relaxed geometry from the Alexandria database. Energies are from GGA-PBE.

The structure in POSCAR format:
```
K3Ce2ScSe6
1.0
3.690 -6.392 0.000
3.690 6.392 0.000
-2.468 0.000 7.659
K Ce Sc Se
3 2 1 6
Direct
0.000 0.000 0.000
0.331 0.669 0.000
0.669 0.331 0.000
0.166 0.834 0.500
0.834 0.166 0.500
0.500 0.500 0.500
0.117 0.432 0.296
0.254 0.254 0.704
0.432 0.117 0.296
0.568 0.883 0.704
0.746 0.746 0.296
0.883 0.568 0.704
```

Computed properties:
Formation energy (no corrections), eV/atom: -1.6508
M_tot, μB per formula unit: 2.03
Space-group type: C2/m, No. 12

***

5.
Here is crystalline K3CeSc2Te6 at its relaxed geometry from the Alexandria database. Energies are from GGA-PBE.

The structure in POSCAR format:
```
K3CeSc2Te6
1.0
3.833 -6.643 0.000
3.833 6.643 0.000
-2.570 0.000 8.219
K Ce Sc Te
3 1 2 6
Direct
0.000 0.000 0.000
0.338 0.662 0.000
0.662 0.338 0.000
0.500 0.500 0.500
0.167 0.833 0.500
0.833 0.167 0.500
0.080 0.432 0.297
0.215 0.215 0.702
0.432 0.080 0.297
0.568 0.920 0.703
0.785 0.785 0.298
0.920 0.568 0.703
```

Computed properties:
Formation energy (no corrections), eV/atom: -1.2722
M_tot, μB per formula unit: 1.04
Space-group type: C2/m, No. 12

***

6.
Here is crystalline KCeSe3 at its relaxed geometry from the Alexandria database. Energies are from GGA-PBE.

The structure in POSCAR format:
```
KCeSe3
1.0
8.827 -2.163 0.000
8.827 2.163 0.000
-4.299 0.000 9.095
K Ce Se
2 2 6
Direct
0.115 0.115 0.306
0.885 0.885 0.694
0.318 0.318 0.201
0.682 0.682 0.799
0.149 0.149 0.962
0.230 0.230 0.670
0.496 0.496 0.380
0.504 0.504 0.620
0.770 0.770 0.330
0.851 0.851 0.038
```

Computed properties:
Distance to the lowest polymorph of the same formula, meV per atom: 0.0
Formation energy (no corrections), eV/atom: -1.3333
M_tot, μB per formula unit: 0.13
Space-group type: C2/m, No. 12